ZnCoPbF6: relaxed, PBE with a Hubbard U.

Cell: 5.4592 5.4592 10.5176 Å, 90.00 90.00 120.00°
Closest atoms and distances in Å follow each position.
Positions (direct):
Zn 0.3333 0.6667 0.2500  6 F 2.07
Zn 0.6667 0.3333 0.7500  6 F 2.07
Co 0.3333 0.6667 0.7500  6 F 2.07
Co 0.6667 0.3333 0.2500  6 F 2.07
Pb 0.0000 0.0000 0.0000  6 F 2.50
Pb 0.0000 0.0000 0.5000  6 F 2.50
F 0.0008 0.3643 0.6439  1 Co 2.07, 1 Zn 2.07
F 0.0008 0.6364 0.8561  1 Co 2.07, 1 Zn 2.07
F 0.3643 0.0008 0.1439  1 Co 2.07, 1 Zn 2.07
F 0.3643 0.3636 0.3561  1 Co 2.07, 1 Zn 2.07
F 0.3636 0.3643 0.8561  1 Co 2.07, 1 Zn 2.07
F 0.3636 0.9992 0.6439  1 Co 2.07, 1 Zn 2.07
F 0.6364 0.0008 0.3561  1 Co 2.07, 1 Zn 2.07
F 0.6364 0.6357 0.1439  1 Co 2.07, 1 Zn 2.07
F 0.6357 0.6364 0.6439  1 Co 2.07, 1 Zn 2.07
F 0.6357 0.9992 0.8561  1 Co 2.07, 1 Zn 2.07
F 0.9992 0.3636 0.1439  1 Co 2.07, 1 Zn 2.07
F 0.9992 0.6357 0.3561  1 Co 2.07, 1 Zn 2.07

Computed properties:
Calculated total energy: -4.6559 eV per atom